First-principles (PBE-GGA) data for ScCuSb2 after structural relaxation, as listed in Alexandria.

Structure (POSCAR):
```
ScCuSb2
1.0
5.305 -1.932 0.000
5.305 1.932 0.000
-0.779 0.000 4.218
Sc Cu Sb
1 1 2
Direct
0.000 0.000 0.000
0.802 0.802 0.434
0.277 0.277 0.947
0.552 0.552 0.524
```

SG: Cm
D(E_F), states/eV per cell: 1.27
E, eV/atom: -5.0193